--- a ---
Compound: Ni2PC
Source: Alexandria
Functional: PBE
Structure: relaxed

Cell lengths 4.373, 4.373, 10.417 Å; angles 90.00, 90.00, 90.00 degrees
Space group I-42d (No. 122)
One atom of each set of equivalent atoms:
1 Ni 0.172 0.250 0.125
2 P 0.000 0.000 0.500
3 C 0.000 0.000 0.000

Properties
For the density of states at the Fermi level, the calculation gives 8.53 states/eV/cell. Its size of the total moment is 0.000 μB per cell.

---

--- b ---
Compound: Ni2PC
Source: Alexandria
Functional: PBE
Structure: relaxed

Cell lengths 5.419, 5.419, 5.419 Å; angles 90.00, 90.00, 90.00 degrees
Space group Fm-3m (No. 225)
One atom of each set of equivalent atoms:
1 Ni 0.250 0.250 0.250
2 P 0.000 0.000 0.000
3 C 0.000 0.000 0.500

Properties
For the density of states at the Fermi level, the calculation gives 12.89 states/eV/cell. Its size of the total moment is 0.000 μB per cell.

---

Stability summary - winner: a; margin: 411 meV/atom.

---

--- a ---
Compound: NiPCS2
Source: Alexandria
Functional: PBE
Structure: relaxed

Cell lengths 4.085, 4.085, 3.907 Å; angles 90.00, 90.00, 90.00 degrees
Space group P4/mmm (No. 123)
One atom of each set of equivalent atoms:
1 Ni 0.000 0.000 0.000
2 P 0.500 0.500 0.000
3 C 0.500 0.500 0.500
4 S 0.000 0.500 0.500

Properties
For the density of states at the Fermi level, the calculation gives 4.56 states/eV/cell. Its size of the total moment is 0.119 μB per cell.

---

--- b ---
Compound: NiPCS2
Source: Alexandria
Functional: PBE
Structure: relaxed

Cell lengths 4.488, 4.488, 4.191 Å; angles 90.00, 90.00, 90.00 degrees
Space group P4/mmm (No. 123)
One atom of each set of equivalent atoms:
1 Ni 0.000 0.000 0.000
2 P 0.000 0.000 0.500
3 C 0.500 0.500 0.500
4 S 0.000 0.500 0.000

Properties
For the density of states at the Fermi level, the calculation gives 4.91 states/eV/cell. Its size of the total moment is 0.141 μB per cell.

---

Stability summary - winner: a; margin: 494 meV/atom.